1.
# Sr3Bi5S12 | the Alexandria database | GGA-PBE | optimized geometry
# formation energy (no corrections) = -0.72 eV/atom
data_Sr3Bi5S12
_chemical_formula_sum 'Sr24 Bi40 S96'
_symmetry_space_group_name_H-M 'I a -3 d'
_symmetry_Int_Tables_number 230
_symmetry_space_group_name_Hall '-I 4bd 2c 3'
_cell_length_a 16.806
_cell_length_b 16.806
_cell_length_c 16.806
_cell_angle_alpha 90.00
_cell_angle_beta 90.00
_cell_angle_gamma 90.00
loop_
_atom_site_label
_atom_site_fract_x
_atom_site_fract_y
_atom_site_fract_z
Sr1 0.000 0.250 0.125
Bi1 0.000 0.000 0.000
Bi2 0.000 0.250 0.375
S1 0.021 0.063 0.652

2.
# Sr12Bi3S5 | the Alexandria database | GGA-PBE | optimized geometry
# formation energy (no corrections) = -1.20 eV/atom
data_Sr12Bi3S5
_chemical_formula_sum 'Sr96 Bi24 S40'
_symmetry_space_group_name_H-M 'I a -3 d'
_symmetry_Int_Tables_number 230
_symmetry_space_group_name_Hall '-I 4bd 2c 3'
_cell_length_a 18.476
_cell_length_b 18.476
_cell_length_c 18.476
_cell_angle_alpha 90.00
_cell_angle_beta 90.00
_cell_angle_gamma 90.00
loop_
_atom_site_label
_atom_site_fract_x
_atom_site_fract_y
_atom_site_fract_z
Sr1 0.026 0.060 0.651
Bi1 0.000 0.250 0.125
S1 0.000 0.000 0.000
S2 0.000 0.250 0.375

3.
# SrBi3S6 | the Alexandria database | GGA-PBE | optimized geometry
# formation energy (no corrections) = -0.60 eV/atom
data_SrBi3S6
_chemical_formula_sum 'Sr3 Bi9 S18'
_symmetry_space_group_name_H-M 'R 3'
_symmetry_Int_Tables_number 146
_symmetry_space_group_name_Hall 'R 3'
_cell_length_a 7.1908
_cell_length_b 7.1908
_cell_length_c 19.1083
_cell_angle_alpha 90.00
_cell_angle_beta 90.00
_cell_angle_gamma 120.00
loop_
_atom_site_label
_atom_site_fract_x
_atom_site_fract_y
_atom_site_fract_z
Sr1 0.0000 0.0000 0.0000
Bi1 0.0000 0.0000 0.2836
Bi2 0.0000 0.0000 0.4835
Bi3 0.0000 0.0000 0.7941
S1 0.0065 0.6988 0.8873
S2 0.0279 0.3988 0.0544

4.
# SrBiS3 | the Alexandria database | GGA-PBE | optimized geometry
# E above lowest polymorph = 0.0000 eV/atom
# formation energy (no corrections) = -0.95 eV/atom
data_SrBiS3
_chemical_formula_sum 'Sr4 Bi4 S12'
_symmetry_space_group_name_H-M 'P n m a'
_symmetry_Int_Tables_number 62
_symmetry_space_group_name_Hall '-P 2ac 2n'
_cell_length_a 7.775
_cell_length_b 4.270
_cell_length_c 15.500
_cell_angle_alpha 90.00
_cell_angle_beta 90.00
_cell_angle_gamma 90.00
loop_
_atom_site_label
_atom_site_fract_x
_atom_site_fract_y
_atom_site_fract_z
Sr1 0.101 0.250 0.192
Bi1 0.181 0.750 0.430
S1 0.023 0.750 0.611
S2 0.081 0.750 0.995
S3 0.173 0.250 0.777

5.
# SrBiS2 | the Alexandria database | GGA-PBE | optimized geometry
# formation energy (no corrections) = -0.81 eV/atom
data_SrBiS2
_chemical_formula_sum 'Sr3 Bi3 S6'
_symmetry_space_group_name_H-M 'R -3 m'
_symmetry_Int_Tables_number 166
_symmetry_space_group_name_Hall '-R 3 2"'
_cell_length_a 4.2752
_cell_length_b 4.2752
_cell_length_c 25.5265
_cell_angle_alpha 90.00
_cell_angle_beta 90.00
_cell_angle_gamma 120.00
loop_
_atom_site_label
_atom_site_fract_x
_atom_site_fract_y
_atom_site_fract_z
Sr1 0.0000 0.0000 0.0000
Bi1 0.0000 0.0000 0.5000
S1 0.0000 0.0000 0.3972

6.
# SrBiS3 | the Alexandria database | GGA-PBE | optimized geometry
# E above lowest polymorph = 0.3344 eV/atom
# formation energy (no corrections) = -0.62 eV/atom
data_SrBiS3
_chemical_formula_sum 'Sr1 Bi1 S3'
_symmetry_space_group_name_H-M 'P m -3 m'
_symmetry_Int_Tables_number 221
_symmetry_space_group_name_Hall '-P 4 2 3'
_cell_length_a 5.218
_cell_length_b 5.218
_cell_length_c 5.218
_cell_angle_alpha 90.00
_cell_angle_beta 90.00
_cell_angle_gamma 90.00
loop_
_atom_site_label
_atom_site_fract_x
_atom_site_fract_y
_atom_site_fract_z
Sr1 0.000 0.000 0.000
Bi1 0.500 0.500 0.500
S1 0.000 0.500 0.500

7.
# SrBi3S | the Alexandria database | GGA-PBE | optimized geometry
# E above lowest polymorph = 0.0000 eV/atom
# formation energy (no corrections) = -0.14 eV/atom
data_SrBi3S
_chemical_formula_sum 'Sr1 Bi3 S1'
_symmetry_space_group_name_H-M 'P m -3 m'
_symmetry_Int_Tables_number 221
_symmetry_space_group_name_Hall '-P 4 2 3'
_cell_length_a 5.513
_cell_length_b 5.513
_cell_length_c 5.513
_cell_angle_alpha 90.00
_cell_angle_beta 90.00
_cell_angle_gamma 90.00
loop_
_atom_site_label
_atom_site_fract_x
_atom_site_fract_y
_atom_site_fract_z
Sr1 0.000 0.000 0.000
Bi1 0.000 0.500 0.500
S1 0.500 0.500 0.500

8.
# Sr2BiS3 | the Alexandria database | GGA-PBE | optimized geometry
# formation energy (no corrections) = -1.40 eV/atom
data_Sr2BiS3
_chemical_formula_sum 'Sr4 Bi2 S6'
_symmetry_space_group_name_H-M 'I m m m'
_symmetry_Int_Tables_number 71
_symmetry_space_group_name_Hall '-I 2 2'
_cell_length_a 4.282
_cell_length_b 6.226
_cell_length_c 12.451
_cell_angle_alpha 90.00
_cell_angle_beta 90.00
_cell_angle_gamma 90.00
loop_
_atom_site_label
_atom_site_fract_x
_atom_site_fract_y
_atom_site_fract_z
Sr1 0.000 0.000 0.164
Bi1 0.000 0.000 0.500
S1 0.000 0.500 0.161
S2 0.000 0.500 0.500

9.
# SrTl3Bi2S6 | the Alexandria database | GGA-PBE | optimized geometry
# formation energy (no corrections) = -0.64 eV/atom
data_SrTl3Bi2S6
_chemical_formula_sum 'Sr2 Tl6 Bi4 S12'
_symmetry_space_group_name_H-M 'C 1 2/m 1'
_symmetry_Int_Tables_number 12
_symmetry_space_group_name_Hall '-C 2y'
_cell_length_a 7.302
_cell_length_b 12.609
_cell_length_c 7.570
_cell_angle_alpha 90.00
_cell_angle_beta 108.74
_cell_angle_gamma 90.00
loop_
_atom_site_label
_atom_site_fract_x
_atom_site_fract_y
_atom_site_fract_z
Sr1 0.000 0.000 0.000
Tl1 0.000 0.162 0.500
Tl2 0.000 0.500 0.500
Bi1 0.000 0.333 0.000
S1 0.223 0.500 0.214
S2 0.250 0.174 0.223

10.
# SrYBi2S | the Alexandria database | GGA-PBE | optimized geometry
# formation energy (no corrections) = 0.21 eV/atom
data_SrYBi2S
_chemical_formula_sum 'Sr1 Y1 Bi2 S1'
_symmetry_space_group_name_H-M 'P 4/m m m'
_symmetry_Int_Tables_number 123
_symmetry_space_group_name_Hall '-P 4 2'
_cell_length_a 5.957
_cell_length_b 5.957
_cell_length_c 5.297
_cell_angle_alpha 90.00
_cell_angle_beta 90.00
_cell_angle_gamma 90.00
loop_
_atom_site_label
_atom_site_fract_x
_atom_site_fract_y
_atom_site_fract_z
Sr1 0.000 0.000 0.000
Y1 0.500 0.500 0.500
Bi1 0.000 0.500 0.000
S1 0.000 0.000 0.500

11.
# TaBi6S12 | the Alexandria database | GGA-PBE | optimized geometry
# formation energy (no corrections) = -0.33 eV/atom
data_TaBi6S12
_chemical_formula_sum 'Ta3 Bi18 S36'
_symmetry_space_group_name_H-M 'R -3'
_symmetry_Int_Tables_number 148
_symmetry_space_group_name_Hall '-R 3'
_cell_length_a 12.0801
_cell_length_b 12.0801
_cell_length_c 11.4907
_cell_angle_alpha 90.00
_cell_angle_beta 90.00
_cell_angle_gamma 120.00
loop_
_atom_site_label
_atom_site_fract_x
_atom_site_fract_y
_atom_site_fract_z
Ta1 0.0000 0.0000 0.0000
Bi1 0.0542 0.7826 0.6439
S1 0.0386 0.8201 0.3974
S2 0.0501 0.8598 0.8839

12.
# TaBi2S | the Alexandria database | GGA-PBE | optimized geometry
# formation energy (no corrections) = 0.87 eV/atom
data_TaBi2S
_chemical_formula_sum 'Ta4 Bi8 S4'
_symmetry_space_group_name_H-M 'I -4 2 d'
_symmetry_Int_Tables_number 122
_symmetry_space_group_name_Hall 'I -4 2bw'
_cell_length_a 6.486
_cell_length_b 6.486
_cell_length_c 12.999
_cell_angle_alpha 90.00
_cell_angle_beta 90.00
_cell_angle_gamma 90.00
loop_
_atom_site_label
_atom_site_fract_x
_atom_site_fract_y
_atom_site_fract_z
Ta1 0.000 0.000 0.000
Bi1 0.240 0.250 0.125
S1 0.000 0.000 0.500

13.
# TaBiS | the Alexandria database | GGA-PBE | optimized geometry
# formation energy (no corrections) = -0.40 eV/atom
data_TaBiS
_chemical_formula_sum 'Ta2 Bi2 S2'
_symmetry_space_group_name_H-M 'P -1'
_symmetry_Int_Tables_number 2
_symmetry_space_group_name_Hall '-P 1'
_cell_length_a 3.277
_cell_length_b 5.921
_cell_length_c 7.818
_cell_angle_alpha 110.28
_cell_angle_beta 101.94
_cell_angle_gamma 90.21
loop_
_atom_site_label
_atom_site_fract_x
_atom_site_fract_y
_atom_site_fract_z
Ta1 0.246 0.233 0.492
Bi1 0.411 0.718 0.824
S1 0.144 0.813 0.285

14.
# Ta4BiS2 | the Alexandria database | GGA-PBE | optimized geometry
# formation energy (no corrections) = 1.52 eV/atom
data_Ta4BiS2
_chemical_formula_sum 'Ta8 Bi2 S4'
_symmetry_space_group_name_H-M 'I 4/m m m'
_symmetry_Int_Tables_number 139
_symmetry_space_group_name_Hall '-I 4 2'
_cell_length_a 5.073
_cell_length_b 5.073
_cell_length_c 12.907
_cell_angle_alpha 90.00
_cell_angle_beta 90.00
_cell_angle_gamma 90.00
loop_
_atom_site_label
_atom_site_fract_x
_atom_site_fract_y
_atom_site_fract_z
Ta1 0.000 0.000 0.223
Ta2 0.000 0.500 0.000
Bi1 0.000 0.000 0.000
S1 0.000 0.000 0.399

15.
# TaBiS2 | the Alexandria database | GGA-PBE | optimized geometry
# formation energy (no corrections) = -0.70 eV/atom
data_TaBiS2
_chemical_formula_sum 'Ta3 Bi3 S6'
_symmetry_space_group_name_H-M 'R -3 m'
_symmetry_Int_Tables_number 166
_symmetry_space_group_name_Hall '-R 3 2"'
_cell_length_a 3.3861
_cell_length_b 3.3861
_cell_length_c 27.1546
_cell_angle_alpha 90.00
_cell_angle_beta 90.00
_cell_angle_gamma 120.00
loop_
_atom_site_label
_atom_site_fract_x
_atom_site_fract_y
_atom_site_fract_z
Ta1 0.0000 0.0000 0.0000
Bi1 0.0000 0.0000 0.5000
S1 0.0000 0.0000 0.3904

16.
# Ta2BiS6 | the Alexandria database | GGA-PBE | optimized geometry
# formation energy (no corrections) = -0.66 eV/atom
data_Ta2BiS6
_chemical_formula_sum 'Ta4 Bi2 S12'
_symmetry_space_group_name_H-M 'C 1 2/m 1'
_symmetry_Int_Tables_number 12
_symmetry_space_group_name_Hall '-C 2y'
_cell_length_a 11.655
_cell_length_b 4.827
_cell_length_c 8.504
_cell_angle_alpha 90.00
_cell_angle_beta 115.72
_cell_angle_gamma 90.00
loop_
_atom_site_label
_atom_site_fract_x
_atom_site_fract_y
_atom_site_fract_z
Ta1 0.191 0.000 0.081
Bi1 0.000 0.000 0.500
S1 0.014 0.000 0.180
S2 0.155 0.500 0.620
S3 0.194 0.500 0.101

17.
# TaBi3S | the Alexandria database | GGA-PBE | optimized geometry
# E above lowest polymorph = 0.4460 eV/atom
# formation energy (no corrections) = 1.06 eV/atom
data_TaBi3S
_chemical_formula_sum 'Ta1 Bi3 S1'
_symmetry_space_group_name_H-M 'P m -3 m'
_symmetry_Int_Tables_number 221
_symmetry_space_group_name_Hall '-P 4 2 3'
_cell_length_a 5.276
_cell_length_b 5.276
_cell_length_c 5.276
_cell_angle_alpha 90.00
_cell_angle_beta 90.00
_cell_angle_gamma 90.00
loop_
_atom_site_label
_atom_site_fract_x
_atom_site_fract_y
_atom_site_fract_z
Ta1 0.000 0.000 0.000
Bi1 0.000 0.500 0.500
S1 0.500 0.500 0.500